[1]
This record from the Alexandria database describes an optimized crystal structure of CaGe2PSe. The functional is PBE.

Properties
Raw formation energy (eV/atom): 0.02

Cell: 4.8197 4.8197 5.1918 Å, 90.00 90.00 90.00°
Space group P4/mmm (No. 123)
Inequivalent atoms, fractional coordinates:
Ca 0.0000 0.0000 0.0000 (multiplicity 1)
Ge 0.0000 0.5000 0.5000 (multiplicity 2)
P 0.5000 0.5000 0.5000 (multiplicity 1)
Se 0.5000 0.5000 0.0000 (multiplicity 1)

[2]
This record from the Alexandria database describes an optimized crystal structure of Ca2GeTeP. The functional is PBE.

Properties
Raw formation energy (eV/atom): 0.06

Cell: 5.5780 5.5780 5.1734 Å, 90.00 90.00 90.00°
Space group P4/mmm (No. 123)
Inequivalent atoms, fractional coordinates:
Ca 0.0000 0.5000 0.0000 (multiplicity 2)
Ge 0.0000 0.0000 0.0000 (multiplicity 1)
Te 0.0000 0.0000 0.5000 (multiplicity 1)
P 0.5000 0.5000 0.5000 (multiplicity 1)

[3]
This record from the Alexandria database describes an optimized crystal structure of Ca2TiGeP. The functional is PBE.

Properties
DFT formation energy (eV per atom): 0.383
Energy above the lowest structure with this stoichiometry (meV per atom): 725

Cell: 5.7110 5.7110 4.5750 Å, 90.00 90.00 90.00°
Space group P4/mmm (No. 123)
Inequivalent atoms, fractional coordinates:
Ca 0.0000 0.5000 0.0000 (multiplicity 2)
Ti 0.0000 0.0000 0.0000 (multiplicity 1)
Ge 0.5000 0.5000 0.5000 (multiplicity 1)
P 0.0000 0.0000 0.5000 (multiplicity 1)

no.,total magnetic moment (Bohr magnetons per cell)
1,0.00
2,0.00
3,2.19